No. 1
Ac12BiOs6 | PBE-GGA | relaxed

```
data_Ac12BiOs6
_symmetry_space_group_name_H-M 'R -3'
_symmetry_Int_Tables_number 148
_symmetry_space_group_name_Hall '-R 3'
_cell_length_a 15.4631
_cell_length_b 15.4631
_cell_length_c 9.3223
_cell_angle_alpha 90.00
_cell_angle_beta 90.00
_cell_angle_gamma 120.00
loop_
_atom_site_label
_atom_site_type_symbol
_atom_site_fract_x
_atom_site_fract_y
_atom_site_fract_z
Ac1 Ac 0.0214 0.1671 0.1649
Ac2 Ac 0.0369 0.2683 0.5671
Bi1 Bi 0.0000 0.0000 0.5000
Os1 Os 0.0151 0.4532 0.5953
```

---

No. 2
KLi2Ag | PBE-GGA | relaxed

```
data_KLi2Ag
_symmetry_space_group_name_H-M 'F -4 3 m'
_symmetry_Int_Tables_number 216
_symmetry_space_group_name_Hall 'F -4 2 3'
_cell_length_a 7.607
_cell_length_b 7.607
_cell_length_c 7.607
_cell_angle_alpha 90.00
_cell_angle_beta 90.00
_cell_angle_gamma 90.00
loop_
_atom_site_label
_atom_site_type_symbol
_atom_site_fract_x
_atom_site_fract_y
_atom_site_fract_z
K1 K 0.000 0.000 0.000
Li1 Li 0.000 0.000 0.500
Li2 Li 0.250 0.250 0.750
Ag1 Ag 0.250 0.250 0.250
```

---

No. 3
PrDy2Zn | PBE-GGA | relaxed

```
data_PrDy2Zn
_symmetry_space_group_name_H-M 'P 4/m m m'
_symmetry_Int_Tables_number 123
_symmetry_space_group_name_Hall '-P 4 2'
_cell_length_a 3.599
_cell_length_b 3.599
_cell_length_c 8.738
_cell_angle_alpha 90.00
_cell_angle_beta 90.00
_cell_angle_gamma 90.00
loop_
_atom_site_label
_atom_site_type_symbol
_atom_site_fract_x
_atom_site_fract_y
_atom_site_fract_z
Pr1 Pr 0.000 0.000 0.000
Dy1 Dy 0.500 0.500 0.299
Zn1 Zn 0.000 0.000 0.500
```

Output
The energy relative to the lowest polymorph listed for this composition comes out at 0.00 eV/f.u.

---

No. 4
NiC | PBE-GGA | relaxed

```
data_NiC
_symmetry_space_group_name_H-M 'P 63/m'
_symmetry_Int_Tables_number 176
_symmetry_space_group_name_Hall '-P 6c'
_cell_length_a 7.2793
_cell_length_b 7.2793
_cell_length_c 3.0209
_cell_angle_alpha 90.00
_cell_angle_beta 90.00
_cell_angle_gamma 120.00
loop_
_atom_site_label
_atom_site_type_symbol
_atom_site_fract_x
_atom_site_fract_y
_atom_site_fract_z
Ni1 Ni 0.0939 0.6538 0.2500
C1 C 0.0686 0.3717 0.2500
```

---

No. 5
TbTlGaAg | PBE-GGA | relaxed

```
data_TbTlGaAg
_symmetry_space_group_name_H-M 'F -4 3 m'
_symmetry_Int_Tables_number 216
_symmetry_space_group_name_Hall 'F -4 2 3'
_cell_length_a 7.121
_cell_length_b 7.121
_cell_length_c 7.121
_cell_angle_alpha 90.00
_cell_angle_beta 90.00
_cell_angle_gamma 90.00
loop_
_atom_site_label
_atom_site_type_symbol
_atom_site_fract_x
_atom_site_fract_y
_atom_site_fract_z
Tb1 Tb 0.000 0.000 0.000
Tl1 Tl 0.000 0.000 0.500
Ga1 Ga 0.250 0.250 0.250
Ag1 Ag 0.250 0.250 0.750
```

---

No. 6
TiVFe2 | PBE-GGA | relaxed

```
data_TiVFe2
_symmetry_space_group_name_H-M 'I -4 2 d'
_symmetry_Int_Tables_number 122
_symmetry_space_group_name_Hall 'I -4 2bw'
_cell_length_a 6.466
_cell_length_b 6.466
_cell_length_c 5.105
_cell_angle_alpha 90.00
_cell_angle_beta 90.00
_cell_angle_gamma 90.00
loop_
_atom_site_label
_atom_site_type_symbol
_atom_site_fract_x
_atom_site_fract_y
_atom_site_fract_z
Ti1 Ti 0.000 0.000 0.000
V1 V 0.000 0.000 0.500
Fe1 Fe 0.233 0.750 0.625
```

---

Number 1: DFT formation energy -0.07 eV/atom. Number 2: DFT formation energy 0.17 eV/atom. Number 3: DFT formation energy -0.16 eV/atom. Number 4: DFT formation energy 0.94 eV/atom. Number 5: DFT formation energy -0.22 eV/atom. Number 6: DFT formation energy 0.30 eV/atom.